No. 1
A plane-wave DFT calculation with PBE was carried out for TlFe2Pd8 after structural relaxation.

Results
Volume, Å³ per atom: 15.5
Energy of formation, eV per formula unit: -1.3
DOS(E_F), states/eV per cell: 14.4
E, eV/atom: -5.647

abc: 14.124 4.002 6.296
angles: 90.00 106.02 90.00
Space group C2/m (No. 12)
Asymmetric unit:
1 Tl 0.000 0.000 0.000 (multiplicity 2)
2 Fe 0.224 0.500 0.652 (multiplicity 4)
3 Pd 0.046 0.500 0.723 (multiplicity 4)
4 Pd 0.102 0.000 0.470 (multiplicity 4)
5 Pd 0.150 0.500 0.214 (multiplicity 4)
6 Pd 0.183 0.000 0.918 (multiplicity 4)

No. 2
A plane-wave DFT calculation with PBE was carried out for TlFePd4 after structural relaxation.

Results
Volume, Å³ per atom: 16.1
Energy of formation, eV per formula unit: -0.4
DOS(E_F), states/eV per cell: 8.9
E, eV/atom: -5.334

abc: 4.861 8.593 4.824
angles: 90.00 106.83 90.00
Space group C2/m (No. 12)
Asymmetric unit:
1 Tl 0.000 0.000 0.000 (multiplicity 2)
2 Fe 0.000 0.500 0.500 (multiplicity 2)
3 Pd 0.000 0.168 0.500 (multiplicity 4)
4 Pd 0.000 0.339 0.000 (multiplicity 4)

No. 3
A plane-wave DFT calculation with PBE was carried out for Tl2Fe2Pd after structural relaxation.

Results
Volume, Å³ per atom: 18.4
Energy of formation, eV per formula unit: 4.0
DOS(E_F), states/eV per cell: 6.9
E, eV/atom: -4.569
Energy above the most stable polymorph in this dataset, meV per atom: 383.1

abc: 5.016 5.016 7.302
angles: 90.00 90.00 90.00
Space group I4/mmm (No. 139)
Asymmetric unit:
1 Tl 0.000 0.500 0.250 (multiplicity 4)
2 Fe 0.000 0.000 0.136 (multiplicity 4)
3 Pd 0.000 0.000 0.500 (multiplicity 2)

No. 4
A plane-wave DFT calculation with PBE was carried out for Tl2FePd8 after structural relaxation.

Results
Volume, Å³ per atom: 17.6
Energy of formation, eV per formula unit: 0.2
DOS(E_F), states/eV per cell: 13.9
E, eV/atom: -4.957

abc: 7.109 13.185 4.567
angles: 90.00 115.13 90.00
Space group C2/m (No. 12)
Asymmetric unit:
1 Tl 0.000 0.198 0.000 (multiplicity 4)
2 Fe 0.000 0.500 0.500 (multiplicity 2)
3 Pd 0.000 0.310 0.500 (multiplicity 4)
4 Pd 0.112 0.000 0.311 (multiplicity 4)
5 Pd 0.208 0.397 0.125 (multiplicity 8)